(1)
The following is a DFT calculation (PBE) of an optimized crystal structure of Cs2TmTiS4.

The spin magnetization comes out at 1.022 μB/f.u. The value obtained for the total DFT energy (no corrections) is -335.68 eV per cell. For the density of states at the Fermi level, the calculation gives 23.53 states/eV per cell. The uncorrected formation energy is -1.42 eV/atom.

It has space group Fddd (No. 70, origin choice 2), with a = 6.3048 Å, b = 14.6500 Å, c = 25.8297 Å, α = 90.00°, β = 90.00° and γ = 90.00°. The inequivalent atoms are Cs at (0.1250, 0.1250, 0.3024), Tm at (0.1250, 0.1250, 0.1250), Ti at (0.1250, 0.1250, 0.6250) and S at (0.0991, 0.2810, 0.8254).

(2)
The following is a DFT calculation (PBE) of an optimized crystal structure of CrC5.

The spin magnetization comes out at 0.000 μB/f.u. The value obtained for the total DFT energy (no corrections) is -43.26 eV per cell. As for the distance to the lowest polymorph of the same formula: 1.5150 eV/atom. For the density of states at the Fermi level, the calculation gives 3.07 states/eV per cell.

It has space group P4/mmm (No. 123), with a = 2.9804 Å, b = 2.9804 Å, c = 5.1952 Å, α = 90.00°, β = 90.00° and γ = 90.00°. The inequivalent atoms are Cr at (0.0000, 0.0000, 0.0000), C at (0.0000, 0.0000, 0.3726), C at (0.5000, 0.5000, 0.2281) and C at (0.5000, 0.5000, 0.5000).

(3)
The following is a DFT calculation (PBE) of an optimized crystal structure of LaTcAs.

The spin magnetization comes out at 0.000 μB/f.u. The value obtained for the total DFT energy (no corrections) is -81.61 eV per cell. As for the distance to the lowest polymorph of the same formula: 0.3410 eV/atom. For the density of states at the Fermi level, the calculation gives 12.12 states/eV per cell.

It has space group F-43m (No. 216), with a = 6.4681 Å, b = 6.4681 Å, c = 6.4681 Å, α = 90.00°, β = 90.00° and γ = 90.00°. The inequivalent atoms are La at (0.0000, 0.0000, 0.0000), Tc at (0.2500, 0.2500, 0.7500) and As at (0.0000, 0.0000, 0.5000).

(4)
The following is a DFT calculation (PBE) of an optimized crystal structure of La2PmNd3Dy6.

The spin magnetization comes out at 0.000 μB/f.u. The value obtained for the total DFT energy (no corrections) is -112.75 eV per cell. For the density of states at the Fermi level, the calculation gives 28.15 states/eV per cell.

It has space group C2/m (No. 12), with a = 6.2938 Å, b = 10.9028 Å, c = 11.8816 Å, α = 90.00°, β = 100.14° and γ = 90.00°. The inequivalent atoms are La at (0.0000, 0.1665, 0.0000), Pm at (0.0000, 0.5000, 0.0000), Nd at (0.0000, 0.0000, 0.5000), Nd at (0.0000, 0.3334, 0.5000), Dy at (0.2486, 0.5000, 0.7488) and Dy at (0.2498, 0.1663, 0.7488).

(5)
The following is a DFT calculation (PBE) of an optimized crystal structure of Hg2MoCl.

The spin magnetization comes out at 0.424 μB/f.u. The value obtained for the total DFT energy (no corrections) is -22.73 eV per cell. As for the distance to the lowest polymorph of the same formula: 0.3112 eV/atom. For the density of states at the Fermi level, the calculation gives 5.94 states/eV per cell. The uncorrected formation energy is 0.48 eV/atom.

It has space group Cmmm (No. 65), with a = 5.8099 Å, b = 9.0022 Å, c = 3.0305 Å, α = 90.00°, β = 90.00° and γ = 90.00°. The inequivalent atoms are Hg at (0.2500, 0.2500, 0.0000), Mo at (0.0000, 0.0000, 0.5000) and Cl at (0.0000, 0.5000, 0.5000).

(6)
The following is a DFT calculation (PBE) of an optimized crystal structure of KLiBe2.

The spin magnetization comes out at 0.000 μB/f.u. The value obtained for the total DFT energy (no corrections) is -12.55 eV per cell. As for the distance to the lowest polymorph of the same formula: 0.8717 eV/atom. For the density of states at the Fermi level, the calculation gives 3.47 states/eV per cell.

It has space group I4/mmm (No. 139), with a = 4.0830 Å, b = 4.0830 Å, c = 9.5512 Å, α = 90.00°, β = 90.00° and γ = 90.00°. The inequivalent atoms are K at (0.0000, 0.0000, 0.0000), Li at (0.0000, 0.0000, 0.5000) and Be at (0.0000, 0.5000, 0.2500).

(7)
The following is a DFT calculation (PBE) of an optimized crystal structure of Ag2SnN.

The spin magnetization comes out at 0.000 μB/f.u. The value obtained for the total DFT energy (no corrections) is -56.44 eV per cell. As for the distance to the lowest polymorph of the same formula: 0.1411 eV/atom. For the density of states at the Fermi level, the calculation gives 5.00 states/eV per cell. The uncorrected formation energy is 0.98 eV/atom.

It has space group Fm-3m (No. 225), with a = 6.4947 Å, b = 6.4947 Å, c = 6.4947 Å, α = 90.00°, β = 90.00° and γ = 90.00°. The inequivalent atoms are Ag at (0.2500, 0.2500, 0.2500), Sn at (0.0000, 0.0000, 0.0000) and N at (0.0000, 0.0000, 0.5000).

(8)
The following is a DFT calculation (PBE) of an optimized crystal structure of LaP2Ru.

The spin magnetization comes out at 0.000 μB/f.u. The value obtained for the total DFT energy (no corrections) is -111.36 eV per cell. As for the distance to the lowest polymorph of the same formula: 0.2825 eV/atom. For the density of states at the Fermi level, the calculation gives 4.69 states/eV per cell.

It has space group I-42d (No. 122), with a = 4.6942 Å, b = 4.6942 Å, c = 15.4920 Å, α = 90.00°, β = 90.00° and γ = 90.00°. The inequivalent atoms are La at (0.0000, 0.0000, 0.0000), P at (0.0614, 0.2500, 0.6250) and Ru at (0.0000, 0.0000, 0.5000).

(9)
The following is a DFT calculation (PBE) of an optimized crystal structure of Ga2ReGeO.

The spin magnetization comes out at 0.000 μB/f.u. The value obtained for the total DFT energy (no corrections) is -26.84 eV per cell. For the density of states at the Fermi level, the calculation gives 3.21 states/eV per cell. The uncorrected formation energy is 0.25 eV/atom.

It has space group P4/mmm (No. 123), with a = 4.8047 Å, b = 4.8047 Å, c = 3.7733 Å, α = 90.00°, β = 90.00° and γ = 90.00°. The inequivalent atoms are Ga at (0.0000, 0.5000, 0.0000), Re at (0.0000, 0.0000, 0.5000), Ge at (0.5000, 0.5000, 0.5000) and O at (0.0000, 0.0000, 0.0000).

(10)
The following is a DFT calculation (PBE) of an optimized crystal structure of BaEuAgGe.

The spin magnetization comes out at 6.847 μB/f.u. The value obtained for the total DFT energy (no corrections) is -84.55 eV per cell. For the density of states at the Fermi level, the calculation gives 52.30 states/eV per cell.

It has space group F-43m (No. 216), with a = 7.8573 Å, b = 7.8573 Å, c = 7.8573 Å, α = 90.00°, β = 90.00° and γ = 90.00°. The inequivalent atoms are Ba at (0.0000, 0.0000, 0.0000), Eu at (0.0000, 0.0000, 0.5000), Ag at (0.2500, 0.2500, 0.2500) and Ge at (0.2500, 0.2500, 0.7500).

(11)
The following is a DFT calculation (PBE) of an optimized crystal structure of La4Dy2Y5.

The spin magnetization comes out at 0.000 μB/f.u. The value obtained for the total DFT energy (no corrections) is -117.88 eV per cell. As for the distance to the lowest polymorph of the same formula: 0.1202 eV/atom. For the density of states at the Fermi level, the calculation gives 35.46 states/eV per cell.

It has space group C2/m (No. 12), with a = 24.2303 Å, b = 3.5572 Å, c = 8.9758 Å, α = 90.00°, β = 99.26° and γ = 90.00°. The inequivalent atoms are La at (0.0284, 0.0000, 0.1848), La at (0.1301, 0.5000, 0.0396), Dy at (0.1011, 0.0000, 0.6980), Y at (0.0000, 0.5000, 0.5000), Y at (0.1812, 0.0000, 0.4096) and Y at (0.2317, 0.0000, 0.8246).

(12)
The following is a DFT calculation (PBE) of an optimized crystal structure of Tc2Ni2Pt.

The spin magnetization comes out at 0.000 μB/f.u. The value obtained for the total DFT energy (no corrections) is -75.41 eV per cell. For the density of states at the Fermi level, the calculation gives 14.07 states/eV per cell.

It has space group P4/mbm (No. 127), with a = 7.0675 Å, b = 7.0675 Å, c = 2.6969 Å, α = 90.00°, β = 90.00° and γ = 90.00°. The inequivalent atoms are Tc at (0.1763, 0.3237, 0.0000), Ni at (0.1189, 0.6189, 0.5000) and Pt at (0.0000, 0.0000, 0.5000).

(13)
The following is a DFT calculation (PBE) of an optimized crystal structure of CdIn2P.

The spin magnetization comes out at 0.000 μB/f.u. The value obtained for the total DFT energy (no corrections) is -11.08 eV per cell. As for the distance to the lowest polymorph of the same formula: 0.1617 eV/atom. For the density of states at the Fermi level, the calculation gives 2.19 states/eV per cell.

It has space group Pmm2 (No. 25), with a = 3.3114 Å, b = 3.6203 Å, c = 7.8059 Å, α = 90.00°, β = 90.00° and γ = 90.00°. The inequivalent atoms are Cd at (0.0000, 0.0000, 0.0000), In at (0.0000, 0.0000, 0.5865), In at (0.5000, 0.5000, 0.2776) and P at (0.5000, 0.5000, 0.7934).

(14)
The following is a DFT calculation (PBE) of an optimized crystal structure of RePPt2.

The spin magnetization comes out at 0.000 μB/f.u. The value obtained for the total DFT energy (no corrections) is -29.46 eV per cell. As for the distance to the lowest polymorph of the same formula: 0.2076 eV/atom. For the density of states at the Fermi level, the calculation gives 3.37 states/eV per cell.

It has space group P2/m (No. 10), with a = 3.0487 Å, b = 3.9979 Å, c = 5.1158 Å, α = 90.00°, β = 105.45° and γ = 90.00°. The inequivalent atoms are Re at (0.0000, 0.0000, 0.0000), P at (0.0000, 0.0000, 0.5000) and Pt at (0.3684, 0.5000, 0.7369).

(15)
The following is a DFT calculation (PBE) of an optimized crystal structure of BaLiCdSb2.

The spin magnetization comes out at 0.000 μB/f.u. The value obtained for the total DFT energy (no corrections) is -32.43 eV per cell. For the density of states at the Fermi level, the calculation gives 5.61 states/eV per cell. The uncorrected formation energy is -0.64 eV/atom.

It has space group I-4m2 (No. 119), with a = 4.7408 Å, b = 4.7408 Å, c = 13.1733 Å, α = 90.00°, β = 90.00° and γ = 90.00°. The inequivalent atoms are Ba at (0.0000, 0.0000, 0.0000), Li at (0.0000, 0.5000, 0.7500), Cd at (0.0000, 0.5000, 0.2500) and Sb at (0.0000, 0.0000, 0.3791).

(16)
The following is a DFT calculation (PBE) of an optimized crystal structure of Ba6Sr3Ac.

The spin magnetization comes out at 0.000 μB/f.u. The value obtained for the total DFT energy (no corrections) is -37.95 eV per cell. As for the distance to the lowest polymorph of the same formula: 0.1355 eV/atom. For the density of states at the Fermi level, the calculation gives 29.52 states/eV per cell.

It has space group P2_1/c (No. 14), with a = 6.7919 Å, b = 14.0752 Å, c = 14.4675 Å, α = 90.00°, β = 117.94° and γ = 90.00°. The inequivalent atoms are Ba at (0.0609, 0.1885, 0.0578), Ba at (0.2557, 0.6594, 0.2594), Ba at (0.4153, 0.2180, 0.4123), Sr at (0.0000, 0.0000, 0.5000), Sr at (0.2550, 0.5523, 0.7514) and Ac at (0.5000, 0.0000, 0.0000).

(17)
The following is a DFT calculation (PBE) of an optimized crystal structure of TcSbIr2.

The spin magnetization comes out at 0.000 μB/f.u. The value obtained for the total DFT energy (no corrections) is -63.21 eV per cell. For the density of states at the Fermi level, the calculation gives 5.67 states/eV per cell. The uncorrected formation energy is 0.15 eV/atom.

It has space group Cm (No. 8), with a = 9.0848 Å, b = 2.9026 Å, c = 5.0344 Å, α = 90.00°, β = 103.09° and γ = 90.00°. The inequivalent atoms are Tc at (0.0000, 0.0000, 0.0000), Sb at (0.2546, 0.0000, 0.7035), Ir at (0.0076, 0.5000, 0.4538) and Ir at (0.2487, 0.5000, 0.1990).

(18)
The following is a DFT calculation (PBE) of an optimized crystal structure of SrAl3Si.

The spin magnetization comes out at 0.000 μB/f.u. The value obtained for the total DFT energy (no corrections) is -9.88 eV per cell. As for the distance to the lowest polymorph of the same formula: 1.9282 eV/atom. For the density of states at the Fermi level, the calculation gives 4.11 states/eV per cell. The uncorrected formation energy is 1.69 eV/atom.

It has space group Pm-3m (No. 221), with a = 5.7378 Å, b = 5.7378 Å, c = 5.7378 Å, α = 90.00°, β = 90.00° and γ = 90.00°. The inequivalent atoms are Sr at (0.0000, 0.0000, 0.0000), Al at (0.0000, 0.0000, 0.5000) and Si at (0.5000, 0.5000, 0.5000).

(19)
The following is a DFT calculation (PBE) of an optimized crystal structure of MgRePt4.

The spin magnetization comes out at 2.695 μB/f.u. The value obtained for the total DFT energy (no corrections) is -149.18 eV per cell. For the density of states at the Fermi level, the calculation gives 21.42 states/eV per cell.

It has space group F-43m (No. 216), with a = 7.4154 Å, b = 7.4154 Å, c = 7.4154 Å, α = 90.00°, β = 90.00° and γ = 90.00°. The inequivalent atoms are Mg at (0.0000, 0.0000, 0.0000), Re at (0.2500, 0.2500, 0.7500) and Pt at (0.1248, 0.1248, 0.3752).

(20)
The following is a DFT calculation (PBE) of an optimized crystal structure of HgRhBr3.

The spin magnetization comes out at 0.000 μB/f.u. The value obtained for the total DFT energy (no corrections) is -12.86 eV per cell. As for the distance to the lowest polymorph of the same formula: 0.0000 eV/atom. For the density of states at the Fermi level, the calculation gives 4.92 states/eV per cell. The uncorrected formation energy is -0.04 eV/atom.

It has space group Pm-3m (No. 221), with a = 5.1064 Å, b = 5.1064 Å, c = 5.1064 Å, α = 90.00°, β = 90.00° and γ = 90.00°. The inequivalent atoms are Hg at (0.0000, 0.0000, 0.0000), Rh at (0.5000, 0.5000, 0.5000) and Br at (0.0000, 0.5000, 0.5000).